VASP calculation (GGA+U) on a relaxed LiMnCO4 crystal.

uncorrected energy = -7.09 eV/atom
symmetry = P2_1/c, No. 14

Structure (CIF):
```
data_LiMnCO4
_cell_length_a 6.4888
_cell_length_b 5.4239
_cell_length_c 9.8207
_cell_angle_alpha 90.00
_cell_angle_beta 104.77
_cell_angle_gamma 90.00
_space_group_name_H-M_alt 'P 1'
_space_group_IT_number 1
_space_group_name_Hall 'P 1'
loop_
_atom_site_label
_atom_site_fract_x
_atom_site_fract_y
_atom_site_fract_z
Li1 0.1760 0.1702 0.3498
Li2 0.1760 0.3298 0.8498
Li3 0.8240 0.6702 0.1502
Li4 0.8240 0.8298 0.6502
Mn1 0.3703 0.6517 0.6525
Mn2 0.3703 0.8483 0.1525
Mn3 0.6297 0.1517 0.8475
Mn4 0.6297 0.3483 0.3475
C1 0.1964 0.6987 0.3983
C2 0.1964 0.8013 0.8983
C3 0.8036 0.1987 0.1017
C4 0.8036 0.3013 0.6017
O1 0.1246 0.7316 0.2658
O2 0.1246 0.7684 0.7658
O3 0.2340 0.0185 0.9574
O4 0.2340 0.4815 0.4574
O5 0.2435 0.6170 0.9864
O6 0.2435 0.8830 0.4864
O7 0.4068 0.1482 0.2496
O8 0.4068 0.3518 0.7496
O9 0.5932 0.6482 0.2504
O10 0.5932 0.8518 0.7504
O11 0.7565 0.1170 0.5136
O12 0.7565 0.3830 0.0136
O13 0.7660 0.5185 0.5426
O14 0.7660 0.9815 0.0426
O15 0.8754 0.2316 0.2342
O16 0.8754 0.2684 0.7342
```